[1]
## AcNdCuAu (PBE-GGA)

Data for a relaxed structure of AcNdCuAu.

Structure (extended XYZ):
```
4
Lattice="-3.355 3.914 1.375 -4.364 0.923 -2.927 -4.821 -1.183 1.954" Properties=species:S:1:pos:R:3 pbc="T T T"
Cu -3.135 0.913 0.100
Nd 0.000 0.000 0.000
Ac -6.271 1.826 0.201
Au -9.406 2.739 0.301
```

Values from the calculation:
Excess energy over the best structure of this formula in the dataset: 0.21 eV per formula unit
Energy of formation: -411 meV per atom

---

[2]
## AcNdCuAu (PBE-GGA)

Data for a relaxed structure of AcNdCuAu.

Structure (extended XYZ):
```
4
Lattice="-2.005 3.513 0.830 -3.310 -1.123 -3.244 -1.971 -4.385 3.529" Properties=species:S:1:pos:R:3 pbc="T T T"
Nd -4.815 -0.712 1.655
Au -3.079 0.823 -0.649
Cu -2.523 -2.230 3.346
Ac -0.845 -0.747 1.121
```

Values from the calculation:
Excess energy over the best structure of this formula in the dataset: 0.00 eV per formula unit
Energy of formation: -464 meV per atom

---

[3]
## AcCu2AuO4 (PBE-GGA)

Data for a relaxed structure of AcCu2AuO4.

Structure (extended XYZ):
```
8
Lattice="-1.126 3.524 -4.184 -4.442 -0.376 -2.849 -1.705 4.930 0.883" Properties=species:S:1:pos:R:3 pbc="T T T"
O -3.409 3.540 -5.567
O -1.551 4.064 -1.604
O -4.471 6.439 -2.840
O -5.114 2.113 -2.288
Cu -2.952 5.366 -2.141
Cu -4.321 2.712 -4.008
Ac 0.000 0.000 0.000
Au -3.073 2.277 -0.983
```

Values from the calculation:
Formation energy (no corrections): -25.74 kcal/mol of atoms

---

[4]
## Ac3Cu2AuO9 (PBE-GGA)

Data for a relaxed structure of Ac3Cu2AuO9.

Structure (extended XYZ):
```
15
Lattice="5.673 0.000 0.000 -2.837 4.913 0.000 0.000 0.000 7.028" Properties=species:S:1:pos:R:3 pbc="T T T"
O 2.837 3.256 4.758
O 1.402 4.085 2.270
O -1.402 4.085 2.270
O 4.239 0.828 4.758
O 1.418 2.457 0.000
O -1.418 2.457 0.000
O 2.837 0.000 0.000
O 0.000 1.657 2.270
O 1.435 0.828 4.758
Ac 2.837 1.638 2.219
Ac 0.000 3.276 4.809
Ac 0.000 0.000 0.000
Cu 2.837 1.638 5.906
Cu 0.000 3.276 1.122
Au 0.000 0.000 3.514
```

Values from the calculation:
Formation energy (no corrections): -42.75 kcal/mol of atoms

---

[5]
## Ac2CuAuO6 (PBE-GGA)

Data for a relaxed structure of Ac2CuAuO6.

Structure (extended XYZ):
```
10
Lattice="-2.385 -3.202 -1.090 0.747 -2.316 5.172 -4.611 2.783 1.913" Properties=species:S:1:pos:R:3 pbc="T T T"
O -0.345 -0.463 -0.158
O -2.165 -3.074 3.633
O -2.277 -0.230 3.385
O -2.529 -1.946 1.114
O -4.411 -1.718 4.565
O -4.775 -0.590 2.046
Cu -3.469 -1.830 2.840
Ac 0.030 -1.620 2.429
Ac -2.650 0.929 0.799
Au -1.537 -2.065 -0.702
```

Values from the calculation:
Formation energy (no corrections): -40.33 kcal/mol of atoms

---

[6]
## Ac4Cu3AuO12 (PBE-GGA)

Data for a relaxed structure of Ac4Cu3AuO12.

Structure (extended XYZ):
```
20
Lattice="6.938 0.000 0.000 -2.313 6.542 0.000 -2.313 -3.271 5.665" Properties=species:S:1:pos:R:3 pbc="T T T"
Au 0.000 0.000 0.000
O 1.184 1.675 0.000
O 1.156 4.088 1.416
O -1.156 0.818 4.249
O 3.441 4.867 0.000
O 1.184 -0.837 1.450
O 3.469 0.000 2.833
O -1.156 3.271 2.833
O 3.469 2.453 1.416
O -1.184 0.837 1.450
O 1.156 -0.818 4.249
O -3.441 2.434 4.215
O 3.441 -2.434 4.215
Cu 2.313 3.271 0.000
Cu -2.313 1.635 2.833
Cu 2.313 -1.635 2.833
Ac 3.469 0.000 0.000
Ac -1.156 -1.635 2.833
Ac -1.156 3.271 0.000
Ac 1.156 1.635 2.833
```

Values from the calculation:
Formation energy (no corrections): -43.44 kcal/mol of atoms

---

[7]
## Ac2CuAuO5 (PBE-GGA)

Data for a relaxed structure of Ac2CuAuO5.

Structure (extended XYZ):
```
18
Lattice="-2.232 -1.048 -2.755 1.369 -6.030 3.667 -8.746 1.887 6.368" Properties=species:S:1:pos:R:3 pbc="T T T"
Au -3.905 -4.997 5.065
Au -9.596 0.645 5.048
O -6.727 -4.839 7.291
O -5.077 -2.495 5.063
O -0.849 -0.878 1.022
O -1.846 -3.275 0.261
O -7.822 -1.603 4.466
O -2.277 -3.483 3.170
O -5.414 -1.627 2.524
O -6.168 -4.872 4.370
O 0.170 -4.506 1.577
O -3.706 -0.175 0.588
Ac -8.224 -3.643 5.568
Ac -2.844 -1.234 2.774
Ac -2.564 -5.350 1.632
Ac -5.968 -0.073 4.863
Cu -5.833 -3.219 3.470
Cu -0.380 -2.705 1.337
```

Values from the calculation:
Formation energy (no corrections): -41.53 kcal/mol of atoms

---

[8]
## AcCuP2Au (PBE-GGA)

Data for a relaxed structure of AcCuP2Au.

Structure (extended XYZ):
```
5
Lattice="4.104 0.000 0.000 0.000 4.104 0.000 -2.052 -2.052 5.849" Properties=species:S:1:pos:R:3 pbc="T T T"
Au 2.052 0.000 2.924
Cu 0.000 2.052 2.924
P 2.052 2.052 1.451
P 0.000 0.000 4.397
Ac 0.000 0.000 0.000
```

Values from the calculation:
Energy of formation: -589 meV per atom

---

Summary of uncorrected energy in eV per cell
-17.9; -18.1; -44.3; -96.2; -62.8; -129.2; -113.2; -25.2
(order as listed above)